--- P ---
12
Lattice="5.336 0.000 -2.524 -1.194 5.201 -2.524 0.440 0.553 7.833" Properties=species:S:1:pos:R:3 comment="TlOsO4, optimized geometry, DFT PBE" spacegroup=I4_1/a magmom_total_mub_per_cell=2.0 density_g_cm3=6.557 pbc="T T T"
O 3.056 1.549 4.805
O 3.470 3.676 -2.625
O 1.392 2.429 -0.901
O 5.188 0.876 2.410
O 4.603 1.748 -0.231
O 2.524 0.501 1.494
O 3.379 3.181 1.897
O 1.247 3.854 4.291
Tl 0.659 4.177 1.393
Tl 0.000 0.000 0.000
Os 3.924 1.577 1.393
Os 2.071 2.600 -2.524

=====

--- Q ---
12
Lattice="-2.711 3.091 -2.936 -4.613 -2.025 2.129 1.528 4.796 3.639" Properties=species:S:1:pos:R:3 comment="TlOsO4, optimized geometry, DFT PBE" spacegroup=P2_1/c magmom_total_mub_per_cell=0.0 density_g_cm3=9.203 pbc="T T T"
O -3.928 2.143 0.511
O -1.879 0.448 0.376
O -4.399 -0.321 1.209
O -1.869 3.720 2.322
O -3.918 5.415 2.457
O -1.398 6.184 1.624
O -2.337 3.971 -1.329
O -3.460 1.891 4.161
Os 0.000 0.000 0.000
Os -3.662 0.533 -0.403
Tl -0.592 3.944 0.352
Tl -1.543 1.386 2.884

=====

Most stable: P

=====

--- P ---
10
Lattice="3.825 0.000 0.000 0.000 5.604 -2.104 0.000 0.255 9.192" Properties=species:S:1:pos:R:3 comment="TlOs2O7, optimized geometry, DFT PBE" spacegroup=Cmmm magmom_total_mub_per_cell=0.5 density_g_cm3=5.813 pbc="T T T"
Os 1.912 2.379 6.336
Os 1.912 3.479 0.752
O 0.000 3.443 0.656
O 1.912 0.649 6.128
O 1.912 3.545 5.040
O 1.912 5.210 0.960
O 0.000 2.415 6.432
O 1.912 2.313 2.048
O 1.912 2.802 -1.052
Tl 0.000 0.000 0.000

=====

--- Q ---
10
Lattice="-2.597 1.940 -1.994 -4.296 -3.639 2.052 1.211 4.916 3.205" Properties=species:S:1:pos:R:3 comment="TlOs2O7, optimized geometry, DFT PBE" spacegroup=Cmmm magmom_total_mub_per_cell=0.0 density_g_cm3=9.535 pbc="T T T"
O -2.606 -1.015 2.406
O -2.841 1.608 1.632
O -4.629 0.744 3.119
O -0.479 2.291 2.852
O -2.683 -0.062 -0.198
O -2.998 3.278 3.461
O -1.052 2.473 0.144
Os -3.890 -0.022 1.412
Os -1.792 3.238 1.851
Tl 0.000 0.000 0.000

=====

Most stable: Q

=====

--- P ---
24
Lattice="5.272 0.000 0.000 0.000 7.557 -1.154 0.000 -0.086 7.341" Properties=species:S:1:pos:R:3 comment="TmOsO4, optimized geometry, DFT PBE" spacegroup=P2_1/c magmom_total_mub_per_cell=0.0 density_g_cm3=9.629 pbc="T T T"
Os 4.066 6.325 0.510
Os 1.430 1.189 2.007
Os 1.206 1.146 5.677
Os 3.842 6.282 4.180
Tm 1.133 4.809 5.768
Tm 4.139 2.661 0.419
Tm 1.503 4.852 2.098
Tm 3.769 2.619 4.089
O 0.648 1.278 0.205
O 4.818 0.357 5.038
O 0.110 5.166 3.737
O 5.148 4.585 0.600
O 0.454 7.114 1.149
O 2.745 2.262 6.120
O 3.089 0.400 1.367
O 2.526 5.209 0.067
O 2.760 4.542 4.270
O 2.182 7.071 4.820
O 2.512 2.928 1.917
O 3.284 6.236 2.311
O 4.624 6.193 5.982
O 1.988 1.235 3.876
O 5.162 2.305 2.450
O 0.124 2.885 5.587

=====

--- Q ---
12
Lattice="6.025 0.202 0.000 -2.383 5.537 0.000 -1.821 -2.869 4.979" Properties=species:S:1:pos:R:3 comment="TmOsO4, optimized geometry, DFT PBE" spacegroup=I4_1/amd magmom_total_mub_per_cell=5.3 density_g_cm3=8.342 pbc="T T T"
Os -1.191 2.768 2.489
Os 1.821 2.869 0.000
O 1.488 0.688 4.091
O -2.680 2.081 3.377
O 0.297 3.456 3.377
O -1.488 -0.688 4.091
O -1.203 4.408 1.601
O -1.180 1.129 1.601
O 1.832 1.230 0.888
O 1.809 4.508 0.888
Tm 0.000 0.000 0.000
Tm 3.012 0.101 2.489

=====

Most stable: P